[1]
DFT (GGA-PBE) results for crystalline PrSmTl3 at its relaxed geometry.

The structure in POSCAR format:
```
PrSmTl3
1.0
8.1049 -0.9772 0.0000
-0.9165 8.1120 0.0000
0.0000 0.0000 10.9021
Tl Pr Sm
12 4 4
Direct
0.1837 0.1837 0.4963
0.3826 0.6174 0.0000
0.3826 0.6174 0.5000
0.1837 0.1837 0.0037
0.1755 0.4409 0.7500
0.8245 0.5591 0.2500
0.8163 0.8163 0.9963
0.5591 0.8245 0.2500
0.6174 0.3826 0.5000
0.6174 0.3826 0.0000
0.4409 0.1755 0.7500
0.8163 0.8163 0.5037
0.3851 0.3851 0.2500
0.6149 0.6149 0.7500
0.9924 0.9924 0.2500
0.0076 0.0076 0.7500
0.5000 0.0000 0.0000
0.0000 0.5000 0.0000
0.0000 0.5000 0.5000
0.5000 0.0000 0.5000
```

Calculated values
The value obtained for the density of states at the Fermi level is 5.3 states/eV/f.u. Its space group is Cmcm, No. 63. The calculation puts the energy at -3.3041 eV per atom. As for the formation energy from the elements: 0.015 eV per atom. Its total magnetic moment is 0.000 μB per cell. The crystal system is orthorhombic.

[2]
DFT (GGA-PBE) results for crystalline PrSm12Tl3 at its relaxed geometry.

The structure in POSCAR format:
```
PrSm12Tl3
1.0
4.9548 0.0000 0.0000
0.0000 4.9548 0.0000
0.0000 0.0000 20.3555
Sm Tl Pr
12 3 1
Direct
0.0000 0.5000 0.6222
0.5000 0.0000 0.1326
0.0000 0.5000 0.1326
0.5000 0.5000 0.5000
0.5000 0.0000 0.6222
0.5000 0.5000 0.7436
0.0000 0.5000 0.8674
0.0000 0.5000 0.3778
0.5000 0.0000 0.8674
0.5000 0.5000 0.2564
0.5000 0.5000 0.0000
0.5000 0.0000 0.3778
0.0000 0.0000 0.7427
0.0000 0.0000 0.2573
0.0000 0.0000 0.5000
0.0000 0.0000 0.0000
```

Calculated values
The value obtained for the density of states at the Fermi level is 23.3 states/eV/f.u. Its space group is P4/mmm, No. 123. The calculation puts the energy at -4.4162 eV per atom. As for the formation energy from the elements: -0.134 eV per atom. Its total magnetic moment is 0.000 μB per cell. The crystal system is tetragonal.

[3]
DFT (GGA-PBE) results for crystalline Pr2Sm2Tl7 at its relaxed geometry.

The structure in POSCAR format:
```
Pr2Sm2Tl7
1.0
-3.4974 2.8008 5.4314
-3.5351 -6.8420 1.2517
5.8845 -2.5011 2.9485
Pr Sm Tl
2 2 7
Direct
0.6978 0.0000 0.3022
0.3022 0.0000 0.6978
0.8119 0.5000 0.8119
0.1881 0.5000 0.1881
0.4997 0.2975 0.0002
0.0002 0.7025 0.4997
0.0000 0.0000 0.0000
0.5003 0.7025 0.9998
0.5002 0.7006 0.4998
0.4998 0.2994 0.5002
0.9998 0.2975 0.5003
```

Calculated values
The value obtained for the density of states at the Fermi level is 8.9 states/eV/f.u. Its space group is Cmmm, No. 65. The calculation puts the energy at -3.2051 eV per atom. As for the formation energy from the elements: 0.028 eV per atom. Its total magnetic moment is 0.016 μB per cell. The crystal system is orthorhombic.

[4]
DFT (GGA-PBE) results for crystalline Pr4Sm9Tl11 at its relaxed geometry.

The structure in POSCAR format:
```
Pr4Sm9Tl11
1.0
-2.8243 -1.7642 1.4787
-5.5903 -2.0380 -13.1093
8.6470 -10.9988 3.3934
Tl Pr Sm
11 4 9
Direct
0.0000 0.8123 0.1877
0.0000 0.9549 0.5909
0.0000 0.0000 0.0000
0.0000 0.7935 0.7935
0.0000 0.1877 0.8123
0.0000 0.5909 0.9549
0.0000 0.6233 0.3767
0.0000 0.2065 0.2065
0.0000 0.3767 0.6233
0.0000 0.0451 0.4091
0.0000 0.4091 0.0451
0.5000 0.7511 0.5876
0.5000 0.2489 0.4124
0.5000 0.4124 0.2489
0.5000 0.5876 0.7511
0.5000 0.7968 0.9863
0.5000 0.2032 0.0137
0.5000 0.0137 0.2032
0.5000 0.9863 0.7968
0.5000 0.6119 0.1602
0.5000 0.1602 0.6119
0.5000 0.5000 0.5000
0.5000 0.8398 0.3881
0.5000 0.3881 0.8398
```

Calculated values
The value obtained for the density of states at the Fermi level is 24.8 states/eV/f.u. Its space group is Cmmm, No. 65. The calculation puts the energy at -3.9594 eV per atom. As for the formation energy from the elements: -0.309 eV per atom. Its total magnetic moment is 0.000 μB per cell. The crystal system is orthorhombic.

[5]
DFT (GGA-PBE) results for crystalline Pr6SmTl2 at its relaxed geometry.

The structure in POSCAR format:
```
Pr6SmTl2
1.0
5.8960 0.0000 0.0000
-2.9480 5.0714 -0.1788
0.0000 -1.3313 10.0902
Pr Tl Sm
6 2 1
Direct
0.3742 0.7484 0.8028
0.3245 0.6491 0.4182
0.6755 0.3509 0.5818
0.6258 0.2516 0.1972
0.9477 0.8953 0.1630
0.0523 0.1047 0.8370
0.2799 0.5599 0.1067
0.7201 0.4401 0.8933
0.0000 0.0000 0.5000
```

Calculated values
The value obtained for the density of states at the Fermi level is 10.7 states/eV/f.u. Its space group is C2/m, No. 12. The calculation puts the energy at -4.2854 eV per atom. As for the formation energy from the elements: -0.049 eV per atom. Its total magnetic moment is 0.002 μB per cell. The energy above the lowest structure with this stoichiometry is 104 meV per atom. The crystal system is monoclinic.

[6]
DFT (GGA-PBE) results for crystalline PrSm4Tl7 at its relaxed geometry.

The structure in POSCAR format:
```
PrSm4Tl7
1.0
-5.4000 1.7559 -1.2624
-2.8862 -5.1949 -8.2817
-5.1908 -4.0218 3.2080
Tl Sm Pr
7 4 1
Direct
0.7825 0.8970 0.5380
0.5000 0.0000 0.0000
0.0796 0.6775 0.1634
0.9204 0.3225 0.8366
0.3673 0.5403 0.7250
0.6327 0.4597 0.2750
0.2175 0.1030 0.4620
0.4116 0.7826 0.3942
0.7262 0.6666 0.8810
0.5884 0.2174 0.6058
0.2738 0.3334 0.1190
0.0000 0.0000 0.0000
```

Calculated values
The value obtained for the density of states at the Fermi level is 8.8 states/eV/f.u. Its space group is C2/m, No. 12. The calculation puts the energy at -3.5056 eV per atom. As for the formation energy from the elements: -0.154 eV per atom. Its total magnetic moment is 0.000 μB per cell. The crystal system is monoclinic.

Q: Among the records above, which one has the highest total magnetic moment?
A: Pr2Sm2Tl7

Q: Which of these has the highest energy?
A: Pr2Sm2Tl7